First-principles (GGA-PBE) data for a relaxed NdAl7Zn5 crystal, as listed in Alexandria via LeMat-Bulk.

Values from the calculation:
Density of states at the Fermi level, states/eV per cell: 5.10
Space-group type: Imm2 (44)
Total energy, eV per formula unit: -38.76
V, Å³/atom: 17.2
ΔH_f (0 K), meV per atom: -110

a b c (Å): 5.204 7.052 7.052
angles (deg): 82.35 68.35 68.35
Positions (direct):
Zn 0.000 0.997 0.503
Al 0.644 0.356 0.356
Zn 0.000 0.503 0.997
Nd 0.997 0.003 0.003
Al 0.002 0.354 0.643
Al 0.500 0.781 0.219
Zn 0.500 0.997 0.503
Zn 0.717 0.783 0.783
Al 0.283 0.217 0.217
Al 0.500 0.219 0.781
Zn 0.500 0.503 0.997
Al 0.002 0.643 0.354
Al 0.356 0.644 0.644